# CrBAuC

A relaxed structure of CrBAuC (PBE, Alexandria).

Values from the calculation:
energy relative to the elements = 0.5049 eV per atom
E = -6.696 eV per atom
ΔE to the lowest computed polymorph = 0.326 eV/atom

The structure in CIF format:
```
data_CrBAuC
_space_group_name_H-M_alt 'P m m 2'
_space_group_IT_number 25
_space_group_name_Hall 'P 2 -2'
_cell_length_a 2.8899
_cell_length_b 2.9121
_cell_length_c 5.0070
_cell_angle_alpha 90.00
_cell_angle_beta 90.00
_cell_angle_gamma 90.00
loop_
_atom_site_label
_atom_site_type_symbol
_atom_site_fract_x
_atom_site_fract_y
_atom_site_fract_z
Cr1 Cr 0.0000 0.0000 0.0000
B1 B 0.5000 0.5000 0.8140
Au1 Au 0.5000 0.0000 0.4922
C1 C 0.5000 0.5000 0.1244
```



# FeBHAuC

A relaxed structure of FeBHAuC (PBE, Alexandria).

Values from the calculation:
E = -5.732 eV per atom
ΔE to the lowest computed polymorph = 0.251 eV/atom

The structure in CIF format:
```
data_FeBHAuC
_space_group_name_H-M_alt 'P 1'
_space_group_IT_number 1
_space_group_name_Hall 'P 1'
_cell_length_a 3.0144
_cell_length_b 4.5382
_cell_length_c 4.6086
_cell_angle_alpha 67.88
_cell_angle_beta 70.97
_cell_angle_gamma 89.81
loop_
_atom_site_label
_atom_site_type_symbol
_atom_site_fract_x
_atom_site_fract_y
_atom_site_fract_z
Fe1 Fe 0.0000 0.0000 0.0000
B1 B 0.2286 0.0078 0.5402
H1 H 0.0827 0.7449 0.8344
Au1 Au 0.7712 0.3984 0.4521
C1 C 0.3686 0.8802 0.2642
```



no.,calculated density (Mg/m³)
1,10.7
2,8.4